(1)
DFT (GGA-PBEsol) results for a relaxed structure of BeTe2Au.

Summary:
VASP energy   -13.37 eV for the cell shown
M_tot   0.0000 μB per atom
ρ   8.1 g cm⁻³
Crystal system   orthorhombic

Cell: 3.7957 3.8219 6.5082 Å, 90.00 90.00 90.00°
Element x y z (fractional)
Te1 0.0000 0.5000 0.5000
Te2 0.0000 0.0000 0.0000
Be1 0.5000 0.0000 0.5000
Au1 0.5000 0.5000 0.0000

(2)
DFT (GGA-PBEsol) results for a relaxed structure of BeTe2Au.

Summary:
VASP energy   -14.06 eV for the cell shown
M_tot   0.0000 μB per atom
ρ   8.8 g cm⁻³
Crystal system   orthorhombic

Cell: 3.7741 4.8936 4.8936 Å, 104.95 90.00 90.00°
Element x y z (fractional)
Au1 0.5000 0.5000 0.5000
Te1 0.0000 0.7718 0.2282
Te2 0.0000 0.2282 0.7718
Be1 0.5000 0.0000 0.0000

(3)
DFT (GGA-PBEsol) results for a relaxed structure of Ti2Be2Au.

Summary:
Calculated formation energy   -375 meV per atom
M_tot   0.0000 μB per atom
ρ   8.0 g cm⁻³
Crystal system   tetragonal

Cell: 3.4968 6.0771 6.0771 Å, 90.00 90.00 90.00°
Element x y z (fractional)
Be1 0.0000 0.3734 0.8734
Be2 0.0000 0.8734 0.6266
Be3 0.0000 0.1266 0.3734
Ti1 0.5000 0.8324 0.3324
Au1 0.0000 0.0000 0.0000
Ti2 0.5000 0.1676 0.6676
Ti3 0.5000 0.6676 0.8324
Be4 0.0000 0.6266 0.1266
Ti4 0.5000 0.3324 0.1676
Au2 0.0000 0.5000 0.5000

(4)
DFT (GGA-PBEsol) results for a relaxed structure of Be2TlAu.

Summary:
Calculated formation energy   123 meV per atom
M_tot   0.0000 μB per atom
ρ   9.7 g cm⁻³
Crystal system   orthorhombic

Cell: 4.0376 4.0376 5.0904 Å, 90.00 90.00 119.95°
Element x y z (fractional)
Be1 0.3557 0.6443 0.0000
Be2 0.0251 0.9749 0.0000
Au1 0.6936 0.3064 0.0000
Tl1 0.4255 0.5745 0.5000